one:
First-principles (GGA-PBE) data for crystalline MnRePt at its relaxed geometry, as listed in the Alexandria database.

Calculated values
Calculated density: 17.06 g/cm3
Spin magnetization: 3.7 μB per cell

Lattice parameters (Å, degrees): 2.6932 3.8190 8.2543 90.00 90.00 90.00
With the nearest neighbours (Å) after each atom.
Space group Imm2 (No. 44)
Unique sites:
Mn 0.0000 0.0000 0.0000  5 Re 2.65-2.88, 2 Mn 2.69, 5 Pt 2.70-2.74
Re 0.0000 0.0000 0.3494  5 Mn 2.65-2.88, 5 Pt 2.67-2.75, 2 Re 2.69
Pt 0.0000 0.0000 0.6727  5 Re 2.67-2.75, 2 Pt 2.69, 5 Mn 2.70-2.74

***

two:
First-principles (GGA-PBE) data for crystalline MnRePt at its relaxed geometry, as listed in the Alexandria database.

Calculated values
Calculated density: 16.77 g/cm3
Spin magnetization: 3.9 μB per cell

Lattice parameters (Å, degrees): 3.1886 3.1886 8.4959 90.00 90.00 90.00
With the nearest neighbours (Å) after each atom.
Space group I4mm (No. 107)
Unique sites:
Mn 0.0000 0.0000 0.0000  4 Re 2.57, 5 Pt 2.67-2.82
Re 0.0000 0.0000 0.6461  4 Mn 2.57, 5 Pt 2.67-2.75
Pt 0.0000 0.0000 0.3321  5 Re 2.67-2.75, 5 Mn 2.67-2.82

***

Going by the computed energies, the most stable comes first: one, two.

***

one:
First-principles (GGA-PBE) data for crystalline Mn2Pt2Rh at its relaxed geometry, as listed in the Alexandria database.

Calculated values
Calculated density: 13.44 g/cm3
Spin magnetization: 3.9 μB per cell

Lattice parameters (Å, degrees): 3.7496 3.7496 10.5952 90.00 90.00 90.00
With the nearest neighbours (Å) after each atom.
Space group I4/mmm (No. 139)
Unique sites:
Mn 0.0000 0.0000 0.0897  1 Mn 1.90
Pt 0.0000 0.5000 0.2500  4 Mn 2.53, 4 Pt 2.65
Rh 0.0000 0.0000 0.5000  8 Mn 2.82

***

two:
First-principles (GGA-PBE) data for crystalline Mn2Pt2Rh at its relaxed geometry, as listed in the Alexandria database.

Calculated values
Calculated density: 13.67 g/cm3
Spin magnetization: 14.7 μB per cell

Lattice parameters (Å, degrees): 8.5563 3.8635 5.9766 90.00 132.12 90.00
With the nearest neighbours (Å) after each atom.
Space group C2/m (No. 12)
Unique sites:
Mn 0.0883 0.0000 0.2936  3 Rh 2.66-2.85, 6 Pt 2.69-2.78, 3 Mn 2.74-2.88
Pt 0.2023 0.5000 0.1140  6 Mn 2.69-2.78, 3 Pt 2.74-2.78, 3 Rh 2.77-2.82
Rh 0.0000 0.5000 0.5000  6 Mn 2.66-2.85, 6 Pt 2.77-2.82

***

three:
First-principles (GGA-PBE) data for crystalline Mn2Pt2Rh at its relaxed geometry, as listed in the Alexandria database.

Calculated values
Calculated density: 14.21 g/cm3
Spin magnetization: 0.0 μB per cell

Lattice parameters (Å, degrees): 7.2579 7.2579 2.6759 90.00 90.00 90.00
With the nearest neighbours (Å) after each atom.
Space group P4/mbm (No. 127)
Unique sites:
Mn 0.1691 0.3309 0.0000  6 Pt 2.46-2.57, 2 Mn 2.68
Pt 0.1300 0.6300 0.5000  6 Mn 2.46-2.57, 3 Pt 2.67-2.68
Rh 0.0000 0.0000 0.5000  2 Rh 2.68, 4 Pt 2.85

***

four:
First-principles (GGA-PBE) data for crystalline Mn2Pt2Rh at its relaxed geometry, as listed in the Alexandria database.

Calculated values
Calculated density: 14.38 g/cm3
Spin magnetization: 0.0 μB per cell

Lattice parameters (Å, degrees): 7.1421 7.1421 2.7291 90.00 90.00 90.00
With the nearest neighbours (Å) after each atom.
Space group P4/mbm (No. 127)
Unique sites:
Mn 0.1117 0.3883 0.0000  1 Mn 2.26, 2 Pt 2.51
Pt 0.1802 0.6802 0.5000  6 Mn 2.51-2.54, 2 Pt 2.73
Rh 0.0000 0.0000 0.0000  2 Rh 2.73, 4 Mn 2.89, 8 Pt 2.96

***

Going by the computed energies, the most stable comes first: two, four, three, one.

***

one:
First-principles (GGA-PBE) data for crystalline MnPtRh4 at its relaxed geometry, as listed in the Alexandria database.

Calculated values
Calculated density: 12.81 g/cm3
Spin magnetization: 2.4 μB per cell

Lattice parameters (Å, degrees): 2.7522 2.7522 11.3201 90.00 90.00 90.00
With the nearest neighbours (Å) after each atom.
Space group P4/mmm (No. 123)
Unique sites:
Mn 0.0000 0.0000 0.0000  8 Rh 2.64, 4 Mn 2.75
Pt 0.5000 0.5000 0.5000  4 Pt 2.75, 8 Rh 2.77
Rh 0.0000 0.0000 0.3263  8 Rh 2.73-2.75, 4 Pt 2.77
Rh 0.5000 0.5000 0.1574  4 Mn 2.64, 8 Rh 2.73-2.75

***

two:
First-principles (GGA-PBE) data for crystalline MnPtRh4 at its relaxed geometry, as listed in the Alexandria database.

Calculated values
Calculated density: 11.78 g/cm3
Spin magnetization: 14.0 μB per cell

Lattice parameters (Å, degrees): 7.1987 7.1987 7.1987 90.00 90.00 90.00
With the nearest neighbours (Å) after each atom.
Space group F-43m (No. 216)
Unique sites:
Mn 0.0000 0.0000 0.0000  12 Rh 2.98, 4 Pt 3.12
Pt 0.2500 0.2500 0.7500  12 Rh 2.98, 4 Mn 3.12
Rh 0.1249 0.1249 0.3751  6 Rh 2.54-2.55

***

Going by the computed energies, the most stable comes first: one, two.

***

one:
First-principles (GGA-PBE) data for crystalline Mn2RuPt2 at its relaxed geometry, as listed in the Alexandria database.

Calculated values
Calculated density: 14.21 g/cm3
Spin magnetization: 4.1 μB per cell

Lattice parameters (Å, degrees): 6.4278 6.4278 3.3997 90.00 90.00 90.00
With the nearest neighbours (Å) after each atom.
Space group P4/mbm (No. 127)
Unique sites:
Mn 0.1165 0.3835 0.0000  1 Mn 2.12
Ru 0.0000 0.0000 0.0000  4 Mn 2.58
Pt 0.1806 0.6806 0.5000  6 Mn 2.51-2.59

***

two:
First-principles (GGA-PBE) data for crystalline Mn2RuPt2 at its relaxed geometry, as listed in the Alexandria database.

Calculated values
Calculated density: 14.27 g/cm3
Spin magnetization: 0.0 μB per cell

Lattice parameters (Å, degrees): 7.2518 7.2518 2.6599 90.00 90.00 90.00
With the nearest neighbours (Å) after each atom.
Space group P4/mbm (No. 127)
Unique sites:
Mn 0.1690 0.3310 0.0000  6 Pt 2.45-2.56, 2 Mn 2.66
Ru 0.0000 0.0000 0.5000  2 Ru 2.66, 4 Pt 2.84
Pt 0.1304 0.6304 0.5000  6 Mn 2.45-2.56, 3 Pt 2.66-2.67

***

Going by the computed energies, the most stable comes first: one, two.

***

one:
First-principles (GGA-PBE) data for crystalline MnPtS at its relaxed geometry, as listed in the Alexandria database.

Calculated values
Calculated density: 10.42 g/cm3
Spin magnetization: 2.8 μB per cell

Lattice parameters (Å, degrees): 2.9050 2.9050 5.3280 90.00 90.00 90.00
With the nearest neighbours (Å) after each atom.
Space group P4mm (No. 99)
Unique sites:
Mn 0.0000 0.0000 0.0000  4 S 2.36
Pt 0.5000 0.5000 0.6604  1 S 2.35
S 0.5000 0.5000 0.2186  1 Pt 2.35, 4 Mn 2.36

***

two:
First-principles (GGA-PBE) data for crystalline MnPtS at its relaxed geometry, as listed in the Alexandria database.

Calculated values
Calculated density: 10.28 g/cm3
Spin magnetization: 8.8 μB per cell

Lattice parameters (Å, degrees): 3.0174 3.0174 17.3396 90.00 90.00 120.00
With the nearest neighbours (Å) after each atom.
Space group R3m (No. 160, hexagonal axes)
Unique sites:
Mn 0.0000 0.0000 0.0000  3 S 2.24
Pt 0.0000 0.0000 0.5526  1 S 2.40, 3 Mn 2.64
S 0.0000 0.0000 0.4143  3 Mn 2.24, 1 Pt 2.40

***

three:
First-principles (GGA-PBE) data for crystalline MnPtS at its relaxed geometry, as listed in the Alexandria database.

Calculated values
Calculated density: 10.33 g/cm3
Spin magnetization: 7.1 μB per cell

Lattice parameters (Å, degrees): 3.1366 3.3545 8.6225 90.00 90.00 90.00
With the nearest neighbours (Å) after each atom.
Space group Amm2 (No. 38)
Unique sites:
Mn 0.0000 0.0000 0.0000  4 S 2.43
Pt 0.5000 0.0000 0.3072  3 S 2.47-2.49
S 0.5000 0.0000 0.5932  4 Mn 2.43, 3 Pt 2.47-2.49

***

Going by the computed energies, the most stable comes first: two, one, three.

***

one:
First-principles (GGA-PBE) data for crystalline MnSn2SbPt at its relaxed geometry, as listed in the Alexandria database.

Calculated values
Calculated density: 9.19 g/cm3
Spin magnetization: 0.0 μB per cell

Lattice parameters (Å, degrees): 9.5927 3.3440 7.2921 90.00 109.82 90.00
With the nearest neighbours (Å) after each atom.
Space group Cm (No. 8)
Unique sites:
Mn 0.0000 0.0000 0.0000  2 Sb 2.52, 5 Sn 2.68-2.80
Sn 0.2756 0.0000 0.9752  3 Mn 2.68-2.71, 2 Pt 2.96
Sn 0.4960 0.0000 0.6908  3 Pt 2.71-2.72, 2 Mn 2.80
Sb 0.1196 0.5000 0.2646  2 Mn 2.52, 1 Pt 2.58
Pt 0.2629 0.5000 0.6353  1 Sb 2.58, 3 Sn 2.71-2.72, 1 Mn 2.85

***

two:
First-principles (GGA-PBE) data for crystalline MnSn2SbPt at its relaxed geometry, as listed in the Alexandria database.

Calculated values
Calculated density: 9.15 g/cm3
Spin magnetization: 6.5 μB per cell

Lattice parameters (Å, degrees): 3.8141 4.4006 13.1811 90.00 90.00 90.00
With the nearest neighbours (Å) after each atom.
Space group Imm2 (No. 44)
Unique sites:
Mn 0.0000 0.0000 0.0000  1 Sb 2.65, 6 Sn 2.77-2.95, 2 Pt 2.82
Sn 0.0000 0.0000 0.5355  2 Pt 2.94, 4 Mn 2.95
Sn 0.0000 0.5000 0.3474  2 Mn 2.77, 4 Pt 2.92, 2 Sb 2.92
Sb 0.0000 0.0000 0.2012  1 Mn 2.65, 2 Pt 2.89, 2 Sn 2.92
Pt 0.0000 0.5000 0.8656  2 Mn 2.82, 2 Sb 2.89, 6 Sn 2.92-2.94

***

Going by the computed energies, the most stable comes first: one, two.